1.
Hg2WAu: optimized geometry, GGA-PBE.

Cell lengths 2.8694, 5.1411, 5.3020 Å; angles 90.00, 90.00, 90.00 degrees
Sites, in units of the cell vectors:
Hg  0.0000  0.0000  0.0000
Hg  0.5000  0.0000  0.5000
W  0.0000  0.5000  0.5000
Au  0.5000  0.5000  0.0000

Properties
For the volume, the calculation gives 78 Å³ per cell. Its energy above the most stable polymorph in this dataset is 237 meV/atom. Its density of states at the Fermi level is 3.4 states/eV per cell. As for the density: 16.6 g/cm3. The calculation puts the energy relative to the elements at 0.722 eV/atom.

2.
Sm7Ir2Pd2: optimized geometry, GGA-PBE.

Cell lengths 6.8065, 6.8065, 7.0347 Å; angles 90.00, 90.00, 105.42 degrees
Sites, in units of the cell vectors:
Sm  0.0000  0.0000  0.0000
Sm  0.0000  0.5000  0.2602
Sm  0.0000  0.5000  0.7398
Sm  0.5000  0.0000  0.2602
Sm  0.5000  0.0000  0.7398
Sm  0.5000  0.5000  0.2539
Sm  0.5000  0.5000  0.7461
Ir  0.2844  0.7156  0.0000
Ir  0.7156  0.2844  0.0000
Pd  0.2023  0.2023  0.5000
Pd  0.7977  0.7977  0.5000

Properties
For the volume, the calculation gives 314 Å³ per cell. Its density of states at the Fermi level is 8.3 states/eV per cell. As for the density: 8.7 g/cm3. The calculation puts the energy relative to the elements at -0.473 eV/atom.

3.
KPa2F11: optimized geometry, GGA-PBE.

Cell lengths 9.2313, 9.2313, 9.2313 Å; angles 124.41, 107.82, 97.40 degrees
Sites, in units of the cell vectors:
K  0.2500  0.2500  0.0000
K  0.7500  0.7500  0.0000
Pa  0.1813  0.6413  0.8226
Pa  0.3187  0.1413  0.4600
Pa  0.6813  0.8587  0.5400
Pa  0.8187  0.3587  0.1774
F  0.0000  0.5000  0.5000
F  0.0439  0.3712  0.1714
F  0.0682  0.9678  0.2899
F  0.1779  0.4678  0.8996
F  0.1998  0.8725  0.8286
F  0.2168  0.3665  0.5832
F  0.2832  0.8665  0.1497
F  0.3002  0.1288  0.6727
F  0.3221  0.2217  0.2899
F  0.4318  0.7217  0.8996
F  0.4561  0.6275  0.3273
F  0.5000  0.0000  0.5000
F  0.5439  0.3725  0.6727
F  0.5682  0.2783  0.1004
F  0.6779  0.7783  0.7101
F  0.6998  0.8712  0.3273
F  0.7168  0.1335  0.8503
F  0.7832  0.6335  0.4168
F  0.8002  0.1275  0.1714
F  0.8221  0.5322  0.1004
F  0.9318  0.0322  0.7101
F  0.9561  0.6288  0.8286

Properties
For the volume, the calculation gives 570 Å³ per cell. Its density of states at the Fermi level is 0.0 states/eV per cell. As for the density: 4.1 g/cm3. For the energy relative to the elements, uncorrected, the calculation gives -5025.1 kJ/mol of formula units.

4.
TbThSe3: optimized geometry, GGA-PBE.

Cell lengths 7.7992, 4.1476, 15.8562 Å; angles 90.00, 90.00, 90.00 degrees
Sites, in units of the cell vectors:
Tb  0.2363  0.2500  0.0437
Tb  0.2637  0.7500  0.5437
Tb  0.7363  0.2500  0.4563
Tb  0.7637  0.7500  0.9563
Th  0.1234  0.7500  0.2943
Th  0.3766  0.2500  0.7943
Th  0.6234  0.7500  0.2057
Th  0.8766  0.2500  0.7057
Se  0.0074  0.7500  0.1073
Se  0.1230  0.2500  0.4339
Se  0.1558  0.7500  0.7214
Se  0.3442  0.2500  0.2214
Se  0.3770  0.7500  0.9339
Se  0.4926  0.2500  0.6073
Se  0.5074  0.7500  0.3927
Se  0.6230  0.2500  0.0661
Se  0.6558  0.7500  0.7786
Se  0.8442  0.2500  0.2786
Se  0.8770  0.7500  0.5661
Se  0.9926  0.2500  0.8927

Properties
For the volume, the calculation gives 513 Å³ per cell. Its energy above the most stable polymorph in this dataset is 0 meV/atom. Its density of states at the Fermi level is 10.9 states/eV per cell. As for the density: 8.1 g/cm3. For the energy relative to the elements, uncorrected, the calculation gives -858.7 kJ/mol of formula units.

5.
MnPbW2: optimized geometry, GGA-PBE.

Cell lengths 3.9144, 3.9144, 8.7973 Å; angles 90.00, 90.00, 90.00 degrees
Sites, in units of the cell vectors:
Mn  0.0000  0.0000  0.0000
Mn  0.5000  0.5000  0.5000
Pb  0.0000  0.0000  0.5000
Pb  0.5000  0.5000  0.0000
W  0.0000  0.5000  0.2500
W  0.0000  0.5000  0.7500
W  0.5000  0.0000  0.2500
W  0.5000  0.0000  0.7500

Properties
For the volume, the calculation gives 135 Å³ per cell. Its density of states at the Fermi level is 4.3 states/eV per cell. As for the density: 15.5 g/cm3. The calculation puts the energy relative to the elements at 0.706 eV/atom.

6.
NbMo5W2: optimized geometry, GGA-PBE.

Cell lengths 5.4301, 10.6383, 4.5205 Å; angles 90.00, 90.00, 90.00 degrees
Sites, in units of the cell vectors:
Nb  0.0000  0.0000  0.0000
Nb  0.5000  0.5000  0.0000
Mo  0.0000  0.5000  0.0000
Mo  0.1617  0.2521  0.0000
Mo  0.1670  0.8775  0.5000
Mo  0.3330  0.3775  0.5000
Mo  0.3383  0.7521  0.0000
Mo  0.5000  0.0000  0.0000
Mo  0.6617  0.2479  0.0000
Mo  0.6670  0.6225  0.5000
Mo  0.8330  0.1225  0.5000
Mo  0.8383  0.7479  0.0000
W  0.1648  0.6193  0.5000
W  0.3352  0.1193  0.5000
W  0.6648  0.8807  0.5000
W  0.8352  0.3807  0.5000

Properties
For the volume, the calculation gives 261 Å³ per cell. Its energy above the most stable polymorph in this dataset is 140 meV/atom. Its density of states at the Fermi level is 13.3 states/eV per cell. As for the density: 12.0 g/cm3. The calculation puts the energy relative to the elements at 0.076 eV/atom.